*P*
# PrDy2Ho (PBE, optimized geometry)
data_PrDy2Ho
_chemical_formula_sum 'Pr2 Dy4 Ho2'
_cell_length_a 5.077
_cell_length_b 5.077
_cell_length_c 10.072
_cell_angle_alpha 90.00
_cell_angle_beta 90.00
_cell_angle_gamma 90.00
_symmetry_space_group_name_H-M 'I -4 m 2'
_symmetry_Int_Tables_number 119
_symmetry_space_group_name_Hall 'I -4 -2'
loop_
_atom_site_label
_atom_site_type_symbol
_atom_site_fract_x
_atom_site_fract_y
_atom_site_fract_z
Pr1 Pr 0.000 0.000 0.000
Dy1 Dy 0.000 0.000 0.500
Dy2 Dy 0.000 0.500 0.250
Ho1 Ho 0.000 0.500 0.750
# Crystal system ... tetragonal

***

*Q*
# PrDy2Ho (PBE, optimized geometry)
data_PrDy2Ho
_chemical_formula_sum 'Pr4 Dy8 Ho4'
_cell_length_a 8.069
_cell_length_b 8.069
_cell_length_c 8.069
_cell_angle_alpha 90.00
_cell_angle_beta 90.00
_cell_angle_gamma 90.00
_symmetry_space_group_name_H-M 'F m -3 m'
_symmetry_Int_Tables_number 225
_symmetry_space_group_name_Hall '-F 4 2 3'
loop_
_atom_site_label
_atom_site_type_symbol
_atom_site_fract_x
_atom_site_fract_y
_atom_site_fract_z
Pr1 Pr 0.000 0.000 0.000
Dy1 Dy 0.250 0.250 0.250
Ho1 Ho 0.000 0.000 0.500
# Crystal system ... cubic

***

*R*
# PrDy2Ho (PBE, optimized geometry)
data_PrDy2Ho
_chemical_formula_sum 'Pr2 Dy4 Ho2'
_cell_length_a 3.544
_cell_length_b 5.471
_cell_length_c 13.510
_cell_angle_alpha 90.00
_cell_angle_beta 90.00
_cell_angle_gamma 90.00
_symmetry_space_group_name_H-M 'P m m n'
_symmetry_Int_Tables_number 59
loop_
_symmetry_equiv_pos_as_xyz
'x,y,z'
'-x,-y,-z'
'-x+1/2,-y+1/2,z'
'x+1/2,y+1/2,-z'
'x+1/2,-y,-z'
'-x+1/2,y,z'
'-x,y+1/2,-z'
'x,-y+1/2,z'
loop_
_atom_site_label
_atom_site_type_symbol
_atom_site_fract_x
_atom_site_fract_y
_atom_site_fract_z
Pr1 Pr 0.250 0.250 0.202
Dy1 Dy 0.250 0.250 0.936
Dy2 Dy 0.250 0.750 0.542
Ho1 Ho 0.250 0.250 0.685
# Crystal system ... orthorhombic

***

The structure with the most favorable energy is *P*; the runner-up is 23 meV/atom above it.

***

*P*
# Pr4Dy4Ho (PBE, optimized geometry)
data_Pr4Dy4Ho
_chemical_formula_sum 'Pr8 Dy8 Ho2'
_cell_length_a 10.863
_cell_length_b 10.863
_cell_length_c 5.097
_cell_angle_alpha 90.00
_cell_angle_beta 90.00
_cell_angle_gamma 90.00
_symmetry_space_group_name_H-M 'I 4/m m m'
_symmetry_Int_Tables_number 139
_symmetry_space_group_name_Hall '-I 4 2'
loop_
_atom_site_label
_atom_site_type_symbol
_atom_site_fract_x
_atom_site_fract_y
_atom_site_fract_z
Pr1 Pr 0.167 0.167 0.000
Dy1 Dy 0.000 0.335 0.500
Ho1 Ho 0.000 0.000 0.500
# Crystal system ... tetragonal

***

*Q*
# Pr4Dy4Ho (PBE, optimized geometry)
data_Pr4Dy4Ho
_chemical_formula_sum 'Pr4 Dy4 Ho1'
_cell_length_a 5.620
_cell_length_b 6.943
_cell_length_c 8.911
_cell_angle_alpha 111.78
_cell_angle_beta 108.31
_cell_angle_gamma 90.05
_symmetry_space_group_name_H-M 'P -1'
_symmetry_Int_Tables_number 2
loop_
_symmetry_equiv_pos_as_xyz
'x,y,z'
'-x,-y,-z'
loop_
_atom_site_label
_atom_site_type_symbol
_atom_site_fract_x
_atom_site_fract_y
_atom_site_fract_z
Pr1 Pr 0.134 0.458 0.266
Pr2 Pr 0.280 0.211 0.562
Dy1 Dy 0.072 0.872 0.143
Dy2 Dy 0.379 0.828 0.757
Ho1 Ho 0.500 0.500 0.000
# Crystal system ... triclinic

***

The structure with the most favorable energy is *P*; the runner-up is 84 meV/atom above it.

***

*P*
# PrDy7Ho2 (PBE, optimized geometry)
data_PrDy7Ho2
_chemical_formula_sum 'Pr1 Dy7 Ho2'
_cell_length_a 6.149
_cell_length_b 7.117
_cell_length_c 7.942
_cell_angle_alpha 77.11
_cell_angle_beta 75.02
_cell_angle_gamma 73.35
_symmetry_space_group_name_H-M 'P -1'
_symmetry_Int_Tables_number 2
loop_
_symmetry_equiv_pos_as_xyz
'x,y,z'
'-x,-y,-z'
loop_
_atom_site_label
_atom_site_type_symbol
_atom_site_fract_x
_atom_site_fract_y
_atom_site_fract_z
Pr1 Pr 0.000 0.000 0.000
Dy1 Dy 0.000 0.500 0.000
Dy2 Dy 0.201 0.799 0.599
Dy3 Dy 0.400 0.100 0.201
Dy4 Dy 0.401 0.598 0.202
Ho1 Ho 0.200 0.301 0.599
# Crystal system ... triclinic

***

*Q*
# PrDy7Ho2 (PBE, optimized geometry)
data_PrDy7Ho2
_chemical_formula_sum 'Pr2 Dy14 Ho4'
_cell_length_a 8.745
_cell_length_b 16.003
_cell_length_c 5.635
_cell_angle_alpha 90.00
_cell_angle_beta 90.00
_cell_angle_gamma 90.00
_symmetry_space_group_name_H-M 'C m m m'
_symmetry_Int_Tables_number 65
_symmetry_space_group_name_Hall '-C 2 2'
loop_
_atom_site_label
_atom_site_type_symbol
_atom_site_fract_x
_atom_site_fract_y
_atom_site_fract_z
Pr1 Pr 0.000 0.000 0.000
Dy1 Dy 0.000 0.220 0.000
Dy2 Dy 0.000 0.500 0.500
Dy3 Dy 0.177 0.116 0.500
Ho1 Ho 0.000 0.297 0.500
# Crystal system ... orthorhombic

***

The structure with the most favorable energy is *P*; the runner-up is 677 meV/atom above it.

***

*P*
# Pr4DyHo (PBE, optimized geometry)
data_Pr4DyHo
_chemical_formula_sum 'Pr8 Dy2 Ho2'
_cell_length_a 5.185
_cell_length_b 15.473
_cell_length_c 5.186
_cell_angle_alpha 90.00
_cell_angle_beta 90.00
_cell_angle_gamma 90.00
_symmetry_space_group_name_H-M 'C m m m'
_symmetry_Int_Tables_number 65
_symmetry_space_group_name_Hall '-C 2 2'
loop_
_atom_site_label
_atom_site_type_symbol
_atom_site_fract_x
_atom_site_fract_y
_atom_site_fract_z
Pr1 Pr 0.000 0.164 0.000
Pr2 Pr 0.000 0.335 0.500
Dy1 Dy 0.000 0.500 0.000
Ho1 Ho 0.000 0.000 0.500
# Crystal system ... orthorhombic

***

*Q*
# Pr4DyHo (PBE, optimized geometry)
data_Pr4DyHo
_chemical_formula_sum 'Pr8 Dy2 Ho2'
_cell_length_a 11.799
_cell_length_b 11.800
_cell_length_c 3.509
_cell_angle_alpha 90.00
_cell_angle_beta 90.00
_cell_angle_gamma 90.00
_symmetry_space_group_name_H-M 'C m m m'
_symmetry_Int_Tables_number 65
_symmetry_space_group_name_Hall '-C 2 2'
loop_
_atom_site_label
_atom_site_type_symbol
_atom_site_fract_x
_atom_site_fract_y
_atom_site_fract_z
Pr1 Pr 0.000 0.239 0.000
Pr2 Pr 0.239 0.500 0.500
Dy1 Dy 0.000 0.500 0.000
Ho1 Ho 0.000 0.000 0.500
# Crystal system ... orthorhombic

***

The structure with the most favorable energy is *P*; the runner-up is 570 meV/atom above it.

***

*P*
# PrDy8Ho2 (PBE, optimized geometry)
data_PrDy8Ho2
_chemical_formula_sum 'Pr2 Dy16 Ho4'
_cell_length_a 19.157
_cell_length_b 6.932
_cell_length_c 5.524
_cell_angle_alpha 90.00
_cell_angle_beta 92.93
_cell_angle_gamma 90.00
_symmetry_space_group_name_H-M 'C 1 2/m 1'
_symmetry_Int_Tables_number 12
loop_
_symmetry_equiv_pos_as_xyz
'x,y,z'
'-x,-y,-z'
'-x,y,-z'
'x,-y,z'
'x+1/2,y+1/2,z'
'-x+1/2,-y+1/2,-z'
'-x+1/2,y+1/2,-z'
'x+1/2,-y+1/2,z'
loop_
_atom_site_label
_atom_site_type_symbol
_atom_site_fract_x
_atom_site_fract_y
_atom_site_fract_z
Pr1 Pr 0.000 0.000 0.000
Dy1 Dy 0.047 0.500 0.238
Dy2 Dy 0.134 0.267 0.732
Dy3 Dy 0.189 0.000 0.233
Ho1 Ho 0.216 0.500 0.251
# Crystal system ... monoclinic

***

*Q*
# PrDy8Ho2 (PBE, optimized geometry)
data_PrDy8Ho2
_chemical_formula_sum 'Pr2 Dy16 Ho4'
_cell_length_a 5.502
_cell_length_b 8.130
_cell_length_c 15.923
_cell_angle_alpha 90.00
_cell_angle_beta 90.00
_cell_angle_gamma 90.00
_symmetry_space_group_name_H-M 'I m m m'
_symmetry_Int_Tables_number 71
_symmetry_space_group_name_Hall '-I 2 2'
loop_
_atom_site_label
_atom_site_type_symbol
_atom_site_fract_x
_atom_site_fract_y
_atom_site_fract_z
Pr1 Pr 0.000 0.000 0.000
Dy1 Dy 0.000 0.204 0.500
Dy2 Dy 0.000 0.294 0.140
Dy3 Dy 0.000 0.500 0.336
Ho1 Ho 0.000 0.000 0.301
# Crystal system ... orthorhombic

***

The structure with the most favorable energy is *Q*; the runner-up is 31 meV/atom above it.

***

*P*
# Pr2DyHo (PBE, optimized geometry)
data_Pr2DyHo
_chemical_formula_sum 'Pr2 Dy1 Ho1'
_cell_length_a 3.576
_cell_length_b 5.629
_cell_length_c 6.947
_cell_angle_alpha 90.00
_cell_angle_beta 104.86
_cell_angle_gamma 90.00
_symmetry_space_group_name_H-M 'P 1 m 1'
_symmetry_Int_Tables_number 6
loop_
_symmetry_equiv_pos_as_xyz
'x,y,z'
'x,-y,z'
loop_
_atom_site_label
_atom_site_type_symbol
_atom_site_fract_x
_atom_site_fract_y
_atom_site_fract_z
Pr1 Pr 0.000 0.000 0.000
Pr2 Pr 0.384 0.500 0.766
Dy1 Dy 0.258 0.000 0.513
Ho1 Ho 0.647 0.500 0.291
# Crystal system ... monoclinic

***

*Q*
# Pr2DyHo (PBE, optimized geometry)
data_Pr2DyHo
_chemical_formula_sum 'Pr2 Dy1 Ho1'
_cell_length_a 3.638
_cell_length_b 3.638
_cell_length_c 10.162
_cell_angle_alpha 90.00
_cell_angle_beta 90.00
_cell_angle_gamma 90.00
_symmetry_space_group_name_H-M 'P 4/m m m'
_symmetry_Int_Tables_number 123
_symmetry_space_group_name_Hall '-P 4 2'
loop_
_atom_site_label
_atom_site_type_symbol
_atom_site_fract_x
_atom_site_fract_y
_atom_site_fract_z
Pr1 Pr 0.000 0.000 0.249
Dy1 Dy 0.500 0.500 0.500
Ho1 Ho 0.500 0.500 0.000
# Crystal system ... tetragonal

***

The structure with the most favorable energy is *Q*; the runner-up is 35 meV/atom above it.